Here is a relaxed B3RuPt crystal from Alexandria via LeMat-Bulk. Energies are from GGA-PBE.

The structure in CIF format:
```
data_B3RuPt
_symmetry_space_group_name_H-M 'P m -3 m'
_symmetry_Int_Tables_number 221
_symmetry_space_group_name_Hall '-P 4 2 3'
_cell_length_a 4.0137
_cell_length_b 4.0137
_cell_length_c 4.0137
_cell_angle_alpha 90.00
_cell_angle_beta 90.00
_cell_angle_gamma 90.00
loop_
_atom_site_label
_atom_site_fract_x
_atom_site_fract_y
_atom_site_fract_z
_atom_site_occupancy
B1 0.0000 0.0000 0.5000 1
Ru1 0.0000 0.0000 0.0000 1
Pt1 0.5000 0.5000 0.5000 1
```

Computed properties:
calculated volume = 12.9 Å³ per atom
excess energy over the best structure of this formula in the dataset = 0 meV/atom
crystal system = cubic
total energy = -5.86 eV per atom